[1]
This record from Alexandria via LeMat-Bulk describes a relaxed Ba2InSe crystal. The functional is PBE.

Lattice parameters (Å, degrees): 8.7559 5.9291 4.0866 89.99 62.20 125.28
Atoms (fractional coordinates):
Ba 0.5000 0.0000 0.5000
Ba 0.0000 0.0000 0.0000
Se 0.5000 0.5000 0.0000
In 0.0000 0.5000 0.5000

Formation energy (no corrections), eV per atom: -0.9277
Energy above the most stable polymorph in this dataset, eV/atom: 0.1224
Total energy, eV per cell: -13.78
Total magnetic moment, μB per atom: 0.000

---

[2]
This record from Alexandria via LeMat-Bulk describes a relaxed BaIn6Se8 crystal. The functional is PBE.

Lattice parameters (Å, degrees): 7.7175 7.7175 7.7175 94.42 94.42 94.42
Atoms (fractional coordinates):
Se 0.8188 0.2030 0.6759
Se 0.1812 0.7970 0.3241
Se 0.6759 0.8188 0.2030
Se 0.6971 0.6971 0.6971
Se 0.3029 0.3029 0.3029
Se 0.3241 0.1812 0.7970
Se 0.7970 0.3241 0.1812
Se 0.2030 0.6759 0.8188
In 0.1239 0.3807 0.5921
In 0.8761 0.6193 0.4079
In 0.4079 0.8761 0.6193
In 0.5921 0.1239 0.3807
In 0.6193 0.4079 0.8761
In 0.3807 0.5921 0.1239
Ba 0.0000 0.0000 0.0000

Formation energy (no corrections), eV per atom: -0.5990
Total energy, eV per cell: -55.21
Total magnetic moment, μB per atom: 0.000

---

[3]
This record from Alexandria via LeMat-Bulk describes a relaxed BaInSe3 crystal. The functional is PBE.

Lattice parameters (Å, degrees): 7.3264 7.3609 6.3484 90.00 115.67 78.84
Atoms (fractional coordinates):
Ba 0.6411 0.3851 0.0661
Ba 0.3443 0.9163 0.4178
Se 0.1929 0.3430 0.5718
Se 0.3164 0.8070 0.9038
Se 0.1928 0.3430 0.1124
Se 0.7926 0.9585 0.9122
Se 0.7927 0.9585 0.3716
Se 0.6692 0.4946 0.5802
In 0.9927 0.1508 0.7420
In 0.9927 0.6508 0.7420

Formation energy (no corrections), eV per atom: -1.0194
Energy above the most stable polymorph in this dataset, eV/atom: 0.0000
Total energy, eV per cell: -40.42
Total magnetic moment, μB per atom: 0.000

---

[4]
This record from Alexandria via LeMat-Bulk describes a relaxed Ba2In2Se5 crystal. The functional is PBE.

Lattice parameters (Å, degrees): 12.5199 13.4328 13.8995 90.00 90.00 90.00
Atoms (fractional coordinates):
Se 0.2391 0.4896 0.7860
Se 0.0911 0.8801 0.9759
Se 0.2614 0.1458 0.4596
Se 0.0697 0.8892 0.4290
Se 0.7609 0.0104 0.2860
Se 0.2386 0.6458 0.5404
Se 0.9303 0.1108 0.5710
Se 0.7386 0.3542 0.9596
Se 0.0046 0.7215 0.2284
Se 0.5910 0.1199 0.5241
Se 0.0911 0.3801 0.5241
Se 0.2609 0.4896 0.2860
Se 0.4090 0.3801 0.0241
Se 0.9303 0.6108 0.9290
Se 0.2614 0.6458 0.0404
Se 0.4954 0.7215 0.7284
Se 0.9954 0.2785 0.7716
Se 0.4303 0.8892 0.9290
Se 0.5697 0.6108 0.4290
Se 0.5046 0.7785 0.2284
Se 0.7386 0.8542 0.5404
Se 0.9090 0.1199 0.0241
Se 0.7391 0.5104 0.7140
Se 0.9954 0.7785 0.7284
Se 0.5046 0.2785 0.2716
Se 0.2391 0.9896 0.7140
Se 0.4954 0.2215 0.7716
Se 0.2386 0.1458 0.9596
Se 0.2609 0.9896 0.2140
Se 0.5910 0.6199 0.9759
Se 0.7614 0.8542 0.0404
Se 0.0697 0.3892 0.0710
Se 0.7609 0.5104 0.2140
Se 0.0046 0.2215 0.2716
Se 0.4090 0.8801 0.4759
Se 0.7391 0.0104 0.7860
Se 0.7614 0.3542 0.4596
Se 0.5697 0.1108 0.0710
Se 0.4303 0.3892 0.5710
Se 0.9090 0.6199 0.4759
Ba 0.9992 0.9735 0.1944
Ba 0.2484 0.7470 0.8114
Ba 0.7484 0.7530 0.8114
Ba 0.0008 0.0265 0.8056
Ba 0.0008 0.5265 0.6944
Ba 0.4992 0.5265 0.1944
Ba 0.7516 0.2530 0.1886
Ba 0.5008 0.4735 0.8056
Ba 0.7516 0.7530 0.3114
Ba 0.7484 0.2530 0.6886
Ba 0.5008 0.9735 0.6944
Ba 0.2516 0.7470 0.3114
Ba 0.4992 0.0265 0.3056
Ba 0.2516 0.2470 0.1886
Ba 0.9992 0.4735 0.3056
Ba 0.2484 0.2470 0.6886
In 0.7259 0.5337 0.5298
In 0.2259 0.9663 0.5298
In 0.0589 0.1993 0.4481
In 0.7741 0.5337 0.0298
In 0.5589 0.3007 0.4481
In 0.5589 0.8007 0.0519
In 0.7259 0.0337 0.9702
In 0.2259 0.4663 0.9702
In 0.4411 0.1993 0.9481
In 0.2741 0.9663 0.0298
In 0.0589 0.6993 0.0519
In 0.9411 0.8007 0.5519
In 0.4411 0.6993 0.5519
In 0.2741 0.4663 0.4702
In 0.7741 0.0337 0.4702
In 0.9411 0.3007 0.9481

Formation energy (no corrections), eV per atom: -1.2627
Energy above the most stable polymorph in this dataset, eV/atom: 0.0000
Total energy, eV per cell: -304.88
Total magnetic moment, μB per atom: 0.000

---

[5]
This record from Alexandria via LeMat-Bulk describes a relaxed Ba2InSe crystal. The functional is PBE.

Lattice parameters (Å, degrees): 9.6256 9.6256 9.6256 155.08 153.99 36.33
Atoms (fractional coordinates):
In 0.4500 0.4500 0.0000
Ba 0.0634 0.0634 0.0000
Ba 0.7811 0.2811 0.5000
Se 0.2056 0.7056 0.5000

Formation energy (no corrections), eV per atom: -0.9786
Energy above the most stable polymorph in this dataset, eV/atom: 0.0715
Total energy, eV per cell: -13.98
Total magnetic moment, μB per atom: 0.109

---

[6]
This record from Alexandria via LeMat-Bulk describes a relaxed Ba2In2Se crystal. The functional is PBE.

Lattice parameters (Å, degrees): 6.8436 6.8436 6.4683 58.06 58.06 90.00
Atoms (fractional coordinates):
In 0.6580 0.6580 0.6840
In 0.3420 0.3420 0.3160
Se 0.0000 0.0000 0.0000
Ba 0.2500 0.7500 0.5000
Ba 0.7500 0.2500 0.5000

Formation energy (no corrections), eV per atom: -0.4178
Energy above the most stable polymorph in this dataset, eV/atom: 0.1134
Total energy, eV per cell: -14.90
Total magnetic moment, μB per atom: 0.000